<one>
First-principles (PBE) data for an optimized crystal structure of K2PCl, as listed in the Alexandria database. Values from VASP.

Summary:
Space group: Fm-3m, No. 225

The structure in Quantum ESPRESSO input format:
```
&SYSTEM
  ibrav = 0, nat = 4, ntyp = 3
/
ATOMIC_SPECIES
K 39.10 K.upf
P 30.97 P.upf
Cl 35.45 Cl.upf
CELL_PARAMETERS angstrom
0.000 3.963 3.963
3.963 0.000 3.963
3.963 3.963 0.000
ATOMIC_POSITIONS angstrom
K 1.981 1.981 1.981
K 5.944 5.944 5.944
P 0.000 0.000 0.000
Cl 3.963 3.963 3.963
```

---

<two>
First-principles (PBE) data for an optimized crystal structure of K2PCl, as listed in the Alexandria database. Values from VASP.

Summary:
Space group: I-42d, No. 122

The structure in Quantum ESPRESSO input format:
```
&SYSTEM
  ibrav = 0, nat = 8, ntyp = 3
/
ATOMIC_SPECIES
K 39.10 K.upf
P 30.97 P.upf
Cl 35.45 Cl.upf
CELL_PARAMETERS angstrom
-4.204 4.204 4.437
4.204 -4.204 4.437
4.204 4.204 -4.437
ATOMIC_POSITIONS angstrom
K 6.306 1.880 -1.109
K 1.880 2.102 1.109
K -2.102 2.324 3.327
K 2.324 2.102 5.546
P 4.204 0.000 2.218
P 0.000 0.000 4.437
Cl 0.000 0.000 0.000
Cl 0.000 4.204 2.218
```

---

Of them, <one> has the lowest stability.

---

<one>
First-principles (PBE) data for an optimized crystal structure of K2PCl, as listed in the Alexandria database. Values from VASP.

Summary:
Space group: F-43m, No. 216

The structure in Quantum ESPRESSO input format:
```
&SYSTEM
  ibrav = 0, nat = 4, ntyp = 3
/
ATOMIC_SPECIES
K 39.10 K.upf
P 30.97 P.upf
Cl 35.45 Cl.upf
CELL_PARAMETERS angstrom
0.000 3.944 3.944
3.944 0.000 3.944
3.944 3.944 0.000
ATOMIC_POSITIONS angstrom
K 0.000 0.000 0.000
K 1.972 1.972 1.972
P 5.915 5.915 5.915
Cl 3.944 3.944 3.944
```

---

<two>
First-principles (PBE) data for an optimized crystal structure of K2PCl, as listed in the Alexandria database. Values from VASP.

Summary:
Space group: C2/m, No. 12

The structure in Quantum ESPRESSO input format:
```
&SYSTEM
  ibrav = 0, nat = 4, ntyp = 3
/
ATOMIC_SPECIES
K 39.10 K.upf
P 30.97 P.upf
Cl 35.45 Cl.upf
CELL_PARAMETERS angstrom
3.918 -2.238 0.000
3.918 2.238 0.000
-2.555 0.000 8.016
ATOMIC_POSITIONS angstrom
K 1.314 0.000 1.856
K 3.966 0.000 6.160
P -1.278 0.000 4.008
Cl 3.918 0.000 0.000
```

---

Of them, <one> has the lowest stability.

---

<one>
First-principles (PBE) data for an optimized crystal structure of KPCl6, as listed in the Alexandria database. Values from VASP.

Summary:
Space group: P-1, No. 2

The structure in Quantum ESPRESSO input format:
```
&SYSTEM
  ibrav = 0, nat = 8, ntyp = 3
/
ATOMIC_SPECIES
K 39.10 K.upf
P 30.97 P.upf
Cl 35.45 Cl.upf
CELL_PARAMETERS angstrom
6.647 0.000 0.000
-3.320 5.780 0.000
-3.294 -1.928 6.011
ATOMIC_POSITIONS angstrom
K 0.000 0.000 0.000
P -3.307 1.926 3.005
Cl -1.596 2.433 1.772
Cl -2.028 0.699 4.259
Cl -2.900 3.650 4.260
Cl 2.932 0.202 1.751
Cl 2.060 3.153 1.752
Cl 1.628 1.420 4.239
```

---

<two>
First-principles (PBE) data for an optimized crystal structure of KPCl6, as listed in the Alexandria database. Values from VASP.

Summary:
Space group: P-1, No. 2

The structure in Quantum ESPRESSO input format:
```
&SYSTEM
  ibrav = 0, nat = 8, ntyp = 3
/
ATOMIC_SPECIES
K 39.10 K.upf
P 30.97 P.upf
Cl 35.45 Cl.upf
CELL_PARAMETERS angstrom
5.558 0.000 0.000
1.393 6.065 0.000
2.744 1.902 6.533
ATOMIC_POSITIONS angstrom
K 0.000 0.000 0.000
P 4.847 3.984 3.266
Cl 3.039 4.991 4.365
Cl 3.351 1.681 2.978
Cl 4.134 4.758 1.196
Cl 5.561 3.210 5.337
Cl 6.344 6.287 3.555
Cl 6.656 2.977 2.168
```

---

Of them, <two> has the lowest stability.

---

<one>
First-principles (PBE) data for an optimized crystal structure of KP2Cl, as listed in the Alexandria database. Values from VASP.

Summary:
Space group: P4/mmm, No. 123

The structure in Quantum ESPRESSO input format:
```
&SYSTEM
  ibrav = 0, nat = 4, ntyp = 3
/
ATOMIC_SPECIES
K 39.10 K.upf
P 30.97 P.upf
Cl 35.45 Cl.upf
CELL_PARAMETERS angstrom
6.973 0.000 0.000
0.000 6.973 0.000
0.000 0.000 5.787
ATOMIC_POSITIONS angstrom
K 0.000 0.000 0.000
P 3.487 3.487 1.945
P 3.487 3.487 3.843
Cl 0.000 0.000 2.894
```

---

<two>
First-principles (PBE) data for an optimized crystal structure of KP2Cl, as listed in the Alexandria database. Values from VASP.

Summary:
Space group: Cm, No. 8

The structure in Quantum ESPRESSO input format:
```
&SYSTEM
  ibrav = 0, nat = 4, ntyp = 3
/
ATOMIC_SPECIES
K 39.10 K.upf
P 30.97 P.upf
Cl 35.45 Cl.upf
CELL_PARAMETERS angstrom
4.650 -1.687 0.000
4.650 1.687 0.000
-3.297 0.000 7.130
ATOMIC_POSITIONS angstrom
K 0.000 0.000 0.000
P 3.136 0.000 3.211
P 6.574 0.000 2.613
Cl -0.671 0.000 5.806
```

---

<three>
First-principles (PBE) data for an optimized crystal structure of KP2Cl, as listed in the Alexandria database. Values from VASP.

Summary:
Space group: Fm-3m, No. 225

The structure in Quantum ESPRESSO input format:
```
&SYSTEM
  ibrav = 0, nat = 4, ntyp = 3
/
ATOMIC_SPECIES
K 39.10 K.upf
P 30.97 P.upf
Cl 35.45 Cl.upf
CELL_PARAMETERS angstrom
0.000 3.599 3.599
3.599 0.000 3.599
3.599 3.599 0.000
ATOMIC_POSITIONS angstrom
K 0.000 0.000 0.000
P 1.800 1.800 1.800
P 5.399 5.399 5.399
Cl 3.599 3.599 3.599
```

---

Of them, <three> has the lowest stability.

---

<one>
First-principles (PBE) data for an optimized crystal structure of KP2Cl, as listed in the Alexandria database. Values from VASP.

Summary:
Space group: Pmmm, No. 47

The structure in Quantum ESPRESSO input format:
```
&SYSTEM
  ibrav = 0, nat = 4, ntyp = 3
/
ATOMIC_SPECIES
K 39.10 K.upf
P 30.97 P.upf
Cl 35.45 Cl.upf
CELL_PARAMETERS angstrom
5.116 0.000 0.000
0.000 5.200 0.000
0.000 0.000 5.790
ATOMIC_POSITIONS angstrom
K 0.000 0.000 0.000
P 2.558 2.600 0.961
P 2.558 2.600 4.829
Cl 0.000 0.000 2.895
```

---

<two>
First-principles (PBE) data for an optimized crystal structure of KP2Cl, as listed in the Alexandria database. Values from VASP.

Summary:
Space group: I4/mmm, No. 139

The structure in Quantum ESPRESSO input format:
```
&SYSTEM
  ibrav = 0, nat = 4, ntyp = 3
/
ATOMIC_SPECIES
K 39.10 K.upf
P 30.97 P.upf
Cl 35.45 Cl.upf
CELL_PARAMETERS angstrom
-1.890 1.890 8.446
1.890 -1.890 8.446
1.890 1.890 -8.446
ATOMIC_POSITIONS angstrom
K 0.000 0.000 0.000
P 1.890 0.000 4.223
P 0.000 1.890 4.223
Cl 0.000 0.000 8.446
```

---

<three>
First-principles (PBE) data for an optimized crystal structure of KP2Cl, as listed in the Alexandria database. Values from VASP.

Summary:
Space group: Imm2, No. 44

The structure in Quantum ESPRESSO input format:
```
&SYSTEM
  ibrav = 0, nat = 4, ntyp = 3
/
ATOMIC_SPECIES
K 39.10 K.upf
P 30.97 P.upf
Cl 35.45 Cl.upf
CELL_PARAMETERS angstrom
-1.705 3.293 4.691
1.705 -3.293 4.691
1.705 3.293 -4.691
ATOMIC_POSITIONS angstrom
K 0.000 0.000 0.000
P 0.000 0.000 5.013
P 0.000 3.293 1.660
Cl 1.705 0.000 2.482
```

---

<four>
First-principles (PBE) data for an optimized crystal structure of KP2Cl, as listed in the Alexandria database. Values from VASP.

Summary:
Space group: I-42d, No. 122

The structure in Quantum ESPRESSO input format:
```
&SYSTEM
  ibrav = 0, nat = 8, ntyp = 3
/
ATOMIC_SPECIES
K 39.10 K.upf
P 30.97 P.upf
Cl 35.45 Cl.upf
CELL_PARAMETERS angstrom
-2.130 2.130 15.946
2.130 -2.130 15.946
2.130 2.130 -15.946
ATOMIC_POSITIONS angstrom
K 0.000 0.000 0.000
K 0.000 2.130 7.973
P 1.065 2.030 -3.986
P 2.230 1.065 3.986
P 1.065 0.100 11.959
P -0.100 1.065 19.932
Cl 2.130 0.000 7.973
Cl 0.000 0.000 15.946
```

---

Of them, <two> has the lowest stability.